(1)
Computed, not measured: crystalline TmCdPt6 at its relaxed geometry at the PBE level of DFT.

The structure in POSCAR format:
```
TmCdPt6
1.0
4.068 0.000 0.000
0.000 4.068 0.000
0.000 0.000 8.134
Tm Cd Pt
1 1 6
Cartesian
0.000 0.000 0.000 Tm
0.000 0.000 4.067 Cd
0.000 2.034 2.051 Pt
0.000 2.034 6.083 Pt
2.034 0.000 2.051 Pt
2.034 0.000 6.083 Pt
2.034 2.034 0.000 Pt
2.034 2.034 4.067 Pt
```

Calculated values
Its density of states at the Fermi level is 1.05 states/eV per atom. Its total energy is -5.84 eV/atom. The value obtained for the formation energy is -5.1 eV/f.u. The space group is P4/mmm (123).

***

(2)
Computed, not measured: crystalline Tl6CdHg4 at its relaxed geometry at the PBE level of DFT.

The structure in POSCAR format:
```
Tl6CdHg4
1.0
10.402 0.000 0.000
-5.201 9.009 0.000
0.000 0.000 3.462
Tl Cd Hg
6 1 4
Cartesian
-2.330 4.661 0.000 Tl
0.000 2.286 1.731 Tl
-3.221 7.866 1.731 Tl
2.330 4.661 0.000 Tl
0.000 8.696 0.000 Tl
3.221 7.866 1.731 Tl
5.201 3.003 1.731 Cd
0.000 6.006 1.731 Hg
2.766 1.597 0.000 Hg
7.637 1.597 0.000 Hg
5.201 5.815 0.000 Hg
```

Calculated values
Its density of states at the Fermi level is 0.27 states/eV per atom. Its total energy is -1.47 eV/atom. The value obtained for the formation energy is 0.2 eV/f.u. The space group is P-6m2 (187).

***

(3)
Computed, not measured: crystalline Na4PmTh3Se8 at its relaxed geometry at the PBE level of DFT.

The structure in POSCAR format:
```
Na4PmTh3Se8
1.0
4.179 2.413 7.181
-4.179 2.413 7.181
0.000 -4.825 7.181
Na Pm Th Se
4 1 3 8
Cartesian
0.000 0.000 0.000 Na
-2.089 -1.206 7.181 Na
-2.089 1.206 14.363 Na
0.000 2.413 7.181 Na
0.000 0.000 10.772 Pm
-4.179 0.000 10.772 Th
-2.089 1.206 3.591 Th
2.089 1.206 3.591 Th
-2.098 -1.211 12.508 Se
0.000 0.000 5.348 Se
0.000 -2.423 9.036 Se
-2.098 1.211 9.036 Se
2.098 -1.211 12.508 Se
0.000 2.423 12.508 Se
0.000 0.000 16.196 Se
2.098 1.211 9.036 Se
```

Calculated values
As for the raw formation energy: -1.53 eV per atom. Its density of states at the Fermi level is 0.59 states/eV per atom. Its total energy is -5.29 eV/atom. The space group is R-3m (166).

***

(4)
Computed, not measured: crystalline PmIn2Rh4 at its relaxed geometry at the PBE level of DFT.

The structure in POSCAR format:
```
PmIn2Rh4
1.0
6.554 0.000 0.000
0.000 6.554 0.000
0.000 0.000 6.297
Pm In Rh
2 4 8
Cartesian
0.000 0.000 0.000 Pm
3.277 3.277 3.149 Pm
0.000 3.277 0.000 In
0.000 3.277 3.149 In
3.277 0.000 0.000 In
3.277 0.000 3.149 In
1.638 1.638 1.574 Rh
1.638 1.638 4.723 Rh
1.638 4.915 1.574 Rh
1.638 4.915 4.723 Rh
4.915 1.638 1.574 Rh
4.915 1.638 4.723 Rh
4.915 4.915 1.574 Rh
4.915 4.915 4.723 Rh
```

Calculated values
Its density of states at the Fermi level is 0.49 states/eV per atom. Its total energy is -5.87 eV/atom. The value obtained for the formation energy is -1.5 eV/f.u. The space group is I4/mmm (139).

***

(5)
Computed, not measured: crystalline NdCO at its relaxed geometry at the PBE level of DFT.

The structure in POSCAR format:
```
NdCO
1.0
15.842 0.000 0.000
0.000 2.918 0.000
0.000 0.000 3.729
Nd C O
4 4 4
Cartesian
2.471 0.730 0.003 Nd
5.450 2.189 1.867 Nd
10.392 0.730 1.862 Nd
13.371 2.189 3.726 Nd
0.247 2.189 0.000 C
7.674 0.730 1.865 C
8.168 2.189 1.864 C
15.595 0.730 3.728 C
2.986 2.189 1.867 O
4.935 0.730 0.003 O
10.907 2.189 3.726 O
12.856 0.730 1.862 O
```

Calculated values
As for the raw formation energy: -1.39 eV per atom. Its density of states at the Fermi level is 0.10 states/eV per atom. Its total energy is -7.70 eV/atom. The space group is Pnma (62).

***

(6)
Computed, not measured: crystalline Nd3Si2GePd9 at its relaxed geometry at the PBE level of DFT.

The structure in POSCAR format:
```
Nd3Si2GePd9
1.0
6.428 0.000 0.000
-3.214 5.567 0.000
0.000 0.000 8.602
Nd Si Ge Pd
3 2 1 9
Cartesian
0.000 0.000 0.000 Nd
0.000 3.711 5.778 Nd
3.214 1.856 2.824 Nd
0.000 3.711 1.521 Si
3.214 1.856 7.081 Si
0.000 0.000 4.301 Ge
-1.607 2.783 0.000 Pd
0.000 1.638 2.470 Pd
-1.796 4.748 2.470 Pd
1.418 0.819 6.132 Pd
3.214 0.000 0.000 Pd
1.607 2.783 0.000 Pd
1.796 4.748 2.470 Pd
5.010 0.819 6.132 Pd
3.214 3.929 6.132 Pd
```

Calculated values
As for the raw formation energy: -0.64 eV per atom. Its density of states at the Fermi level is 0.55 states/eV per atom. Its total energy is -5.74 eV/atom. The space group is P-3m1 (164).

***

(7)
Computed, not measured: crystalline TcTeS2 at its relaxed geometry at the PBE level of DFT.

The structure in POSCAR format:
```
TcTeS2
1.0
3.191 0.000 0.000
-1.595 2.763 0.000
0.000 0.000 26.827
Tc Te S
3 3 6
Cartesian
0.000 0.000 0.000 Tc
0.000 1.842 17.884 Tc
1.595 0.921 8.942 Tc
0.000 0.000 13.413 Te
0.000 1.842 4.471 Te
1.595 0.921 22.355 Te
0.000 0.000 2.205 S
0.000 0.000 24.621 S
0.000 1.842 15.679 S
0.000 1.842 20.090 S
1.595 0.921 6.737 S
1.595 0.921 11.148 S
```

Calculated values
As for the raw formation energy: 0.64 eV per atom. Its density of states at the Fermi level is 0.90 states/eV per atom. Its total energy is -4.80 eV/atom. The space group is R-3m (166).

***

(8)
Computed, not measured: crystalline TiAl4Pt2Rh at its relaxed geometry at the PBE level of DFT.

The structure in POSCAR format:
```
TiAl4Pt2Rh
1.0
2.176 1.256 7.162
-2.176 1.256 7.162
0.000 -2.512 7.162
Ti Al Pt Rh
1 4 2 1
Cartesian
0.000 0.000 0.000 Ti
0.000 0.000 2.775 Al
0.000 0.000 8.197 Al
0.000 0.000 13.289 Al
0.000 0.000 18.711 Al
0.000 0.000 5.466 Pt
0.000 0.000 16.020 Pt
0.000 0.000 10.743 Rh
```

Calculated values
Its density of states at the Fermi level is 0.67 states/eV per atom. Its total energy is -6.11 eV/atom. The value obtained for the formation energy is -6.6 eV/f.u. The space group is R-3m (166).

***

(9)
Computed, not measured: crystalline Sc2HAuBr at its relaxed geometry at the PBE level of DFT.

The structure in POSCAR format:
```
Sc2HAuBr
1.0
5.144 0.000 0.000
0.000 5.144 0.000
0.000 0.000 3.527
Sc H Au Br
2 1 1 1
Cartesian
0.000 2.572 0.000 Sc
2.572 0.000 0.000 Sc
0.000 0.000 1.764 H
2.572 2.572 1.764 Au
0.000 0.000 0.000 Br
```

Calculated values
Its density of states at the Fermi level is 0.47 states/eV per atom. Its total energy is -4.23 eV/atom. The space group is P4/mmm (123).

***

(10)
Computed, not measured: crystalline Li3CeU2N6 at its relaxed geometry at the PBE level of DFT.

The structure in POSCAR format:
```
Li3CeU2N6
1.0
3.030 -5.280 0.000
3.030 5.280 0.000
-1.963 0.000 5.054
Li Ce U N
3 1 2 6
Cartesian
0.000 0.000 0.000 Li
3.030 1.973 0.000 Li
3.030 -1.973 0.000 Li
2.049 0.000 2.527 Ce
2.049 3.527 2.527 U
2.049 -3.527 2.527 U
0.971 1.880 1.478 N
-0.117 0.000 3.571 N
0.971 -1.880 1.478 N
3.127 1.880 3.576 N
4.215 0.000 1.483 N
3.127 -1.880 3.576 N
```

Calculated values
As for the raw formation energy: -1.12 eV per atom. Its density of states at the Fermi level is 0.48 states/eV per atom. Its total energy is -8.13 eV/atom. The space group is C2/m (12).

***

(11)
Computed, not measured: crystalline CrTcS3 at its relaxed geometry at the PBE level of DFT.

The structure in POSCAR format:
```
CrTcS3
1.0
4.600 0.000 0.000
0.000 4.600 0.000
0.000 0.000 4.600
Cr Tc S
1 1 3
Cartesian
0.000 0.000 0.000 Cr
2.300 2.300 2.300 Tc
0.000 2.300 2.300 S
2.300 0.000 2.300 S
2.300 2.300 0.000 S
```

Calculated values
As for the raw formation energy: 0.93 eV per atom. Its density of states at the Fermi level is 2.19 states/eV per atom. Its total energy is -5.54 eV/atom. As for the excess energy over the best structure of this formula in the dataset: 1.253 eV per formula unit. The space group is Pm-3m (221).

***

(12)
Computed, not measured: crystalline TlCr2Te at its relaxed geometry at the PBE level of DFT.

The structure in POSCAR format:
```
TlCr2Te
1.0
6.502 0.000 0.000
0.000 6.502 0.000
0.000 0.000 6.502
Tl Cr Te
4 8 4
Cartesian
0.000 0.000 0.000 Tl
0.000 3.251 3.251 Tl
3.251 0.000 3.251 Tl
3.251 3.251 0.000 Tl
1.625 1.625 1.625 Cr
1.625 1.625 4.876 Cr
1.625 4.876 1.625 Cr
1.625 4.876 4.876 Cr
4.876 1.625 1.625 Cr
4.876 1.625 4.876 Cr
4.876 4.876 1.625 Cr
4.876 4.876 4.876 Cr
0.000 0.000 3.251 Te
0.000 3.251 0.000 Te
3.251 0.000 0.000 Te
3.251 3.251 3.251 Te
```

Calculated values
As for the raw formation energy: 0.88 eV per atom. Its density of states at the Fermi level is 3.35 states/eV per atom. Its total energy is -5.30 eV/atom. As for the excess energy over the best structure of this formula in the dataset: 2.172 eV per formula unit. The space group is Fm-3m (225).

***

(13)
Computed, not measured: crystalline TlAsPb2 at its relaxed geometry at the PBE level of DFT.

The structure in POSCAR format:
```
TlAsPb2
1.0
3.385 0.000 0.000
0.000 5.032 0.000
-1.568 0.000 6.973
Tl As Pb
1 1 2
Cartesian
0.000 0.000 0.000 Tl
0.105 2.516 2.170 As
0.113 2.516 5.136 Pb
1.774 0.000 3.220 Pb
```

Calculated values
Its density of states at the Fermi level is 0.48 states/eV per atom. Its total energy is -3.52 eV/atom. The value obtained for the formation energy is 0.4 eV/f.u. As for the excess energy over the best structure of this formula in the dataset: 0.274 eV per formula unit. The space group is Pm (6).

***

(14)
Computed, not measured: crystalline V2NiRu2 at its relaxed geometry at the PBE level of DFT.

The structure in POSCAR format:
```
V2NiRu2
1.0
4.423 0.000 0.000
0.000 7.396 0.000
-0.183 0.000 4.635
V Ni Ru
4 2 4
Cartesian
0.011 0.000 1.213 V
2.018 3.698 3.423 V
2.222 3.698 1.213 V
4.230 0.000 3.423 V
0.000 3.698 0.000 Ni
2.212 0.000 0.000 Ni
-0.091 2.448 2.318 Ru
-0.091 4.948 2.318 Ru
2.120 1.250 2.318 Ru
2.120 6.146 2.318 Ru
```

Calculated values
Its density of states at the Fermi level is 1.53 states/eV per atom. Its total energy is -8.07 eV/atom. The value obtained for the formation energy is 2.2 eV/f.u. As for the excess energy over the best structure of this formula in the dataset: 2.097 eV per formula unit. The space group is C2/m (12).

***

(15)
Computed, not measured: crystalline NdDyTlZn at its relaxed geometry at the PBE level of DFT.

The structure in POSCAR format:
```
NdDyTlZn
1.0
7.519 0.000 0.000
0.000 7.519 0.000
0.000 0.000 7.519
Nd Dy Tl Zn
4 4 4 4
Cartesian
0.000 0.000 0.000 Nd
0.000 3.760 3.760 Nd
3.760 0.000 3.760 Nd
3.760 3.760 0.000 Nd
0.000 0.000 3.760 Dy
0.000 3.760 0.000 Dy
3.760 0.000 0.000 Dy
3.760 3.760 3.760 Dy
1.880 1.880 1.880 Tl
1.880 5.639 5.639 Tl
5.639 1.880 5.639 Tl
5.639 5.639 1.880 Tl
1.880 1.880 5.639 Zn
1.880 5.639 1.880 Zn
5.639 1.880 1.880 Zn
5.639 5.639 5.639 Zn
```

Calculated values
Its density of states at the Fermi level is 1.17 states/eV per atom. Its total energy is -3.58 eV/atom. The value obtained for the formation energy is -1.3 eV/f.u. As for the excess energy over the best structure of this formula in the dataset: 0.112 eV per formula unit. The space group is F-43m (216).

***

(16)
Computed, not measured: crystalline MnVTcAs at its relaxed geometry at the PBE level of DFT.

The structure in POSCAR format:
```
MnVTcAs
1.0
5.919 0.000 0.000
0.000 5.919 0.000
0.000 0.000 5.919
Mn V Tc As
4 4 4 4
Cartesian
0.000 0.000 0.000 Mn
0.000 2.959 2.959 Mn
2.959 0.000 2.959 Mn
2.959 2.959 0.000 Mn
1.480 1.480 4.439 V
1.480 4.439 1.480 V
4.439 1.480 1.480 V
4.439 4.439 4.439 V
0.000 0.000 2.959 Tc
0.000 2.959 0.000 Tc
2.959 0.000 0.000 Tc
2.959 2.959 2.959 Tc
1.480 1.480 1.480 As
1.480 4.439 4.439 As
4.439 1.480 4.439 As
4.439 4.439 1.480 As
```

Calculated values
Its density of states at the Fermi level is 0.74 states/eV per atom. Its total energy is -8.48 eV/atom. The value obtained for the formation energy is -0.6 eV/f.u. The space group is F-43m (216).

***

(17)
Computed, not measured: crystalline Ac4Ge2Br3 at its relaxed geometry at the PBE level of DFT.

The structure in POSCAR format:
```
Ac4Ge2Br3
1.0
4.000 -2.310 0.000
4.000 2.310 0.000
-0.044 0.000 18.253
Ac Ge Br
4 2 3
Cartesian
0.001 0.000 5.492 Ac
2.667 0.000 2.088 Ac
5.289 0.000 16.166 Ac
7.955 0.000 12.761 Ac
2.621 0.000 14.521 Ge
5.336 0.000 3.732 Ge
0.000 0.000 0.000 Br
2.668 0.000 7.310 Br
5.288 0.000 10.943 Br
```

Calculated values
As for the raw formation energy: -1.33 eV per atom. Its density of states at the Fermi level is 0.37 states/eV per atom. Its total energy is -4.74 eV/atom. The space group is C2/m (12).

***

(18)
Computed, not measured: crystalline Ac2Pm2Te2Se3 at its relaxed geometry at the PBE level of DFT.

The structure in POSCAR format:
```
Ac2Pm2Te2Se3
1.0
-2.894 2.894 8.532
2.894 -2.894 8.532
2.894 2.894 -8.532
Ac Pm Te Se
2 2 2 3
Cartesian
0.000 0.000 3.251 Ac
0.000 0.000 13.813 Ac
2.894 0.000 0.000 Pm
0.000 2.894 0.000 Pm
0.000 0.000 6.759 Te
0.000 0.000 10.304 Te
0.000 0.000 0.000 Se
2.894 0.000 4.266 Se
0.000 2.894 4.266 Se
```

Calculated values
As for the raw formation energy: -1.53 eV per atom. Its density of states at the Fermi level is 0.68 states/eV per atom. Its total energy is -5.35 eV/atom. The space group is I4/mmm (139).

***

(19)
Computed, not measured: crystalline Ta3IrOs at its relaxed geometry at the PBE level of DFT.

The structure in POSCAR format:
```
Ta3IrOs
1.0
4.761 0.000 0.000
0.000 4.761 0.000
0.000 0.000 4.761
Ta Ir Os
3 1 1
Cartesian
0.000 0.000 2.381 Ta
0.000 2.381 0.000 Ta
2.381 0.000 0.000 Ta
2.381 2.381 2.381 Ir
0.000 0.000 0.000 Os
```

Calculated values
Its density of states at the Fermi level is 0.99 states/eV per atom. Its total energy is -9.81 eV/atom. The value obtained for the formation energy is 6.6 eV/f.u. As for the excess energy over the best structure of this formula in the dataset: 0.000 eV per formula unit. The space group is Pm-3m (221).

***

(20)
Computed, not measured: crystalline BaCrP at its relaxed geometry at the PBE level of DFT.

The structure in POSCAR format:
```
BaCrP
1.0
3.930 0.000 0.000
0.000 3.930 0.000
0.000 0.000 10.253
Ba Cr P
2 2 2
Cartesian
0.983 0.983 2.097 Ba
2.948 2.948 8.156 Ba
0.983 2.948 5.126 Cr
2.948 0.983 5.126 Cr
0.983 0.983 6.413 P
2.948 2.948 3.840 P
```

Calculated values
Its density of states at the Fermi level is 1.07 states/eV per atom. Its total energy is -6.24 eV/atom. The value obtained for the formation energy is -1.8 eV/f.u. The space group is P4/nmm (129).